Computed, not measured: ReOsBr2 after structural relaxation at the PBE level of DFT.

Computed properties:
**Uncorrected formation energy**: 1.817 eV/atom
**Polymorph energy (0 for the lowest one)**: 1.494 eV per atom

Cell lengths 4.5360, 4.5360, 3.2074 Å; angles 90.00, 90.00, 90.00 degrees
Closest atoms and distances in Å follow each position.
Atoms (fractional coordinates):
Br 0.5000 0.5000 0.0000  4 Re 2.78, 4 Os 2.78
Br 0.0000 0.0000 0.0000  4 Os 2.78, 4 Re 2.78
Re 0.0000 0.5000 0.5000  8 Br 2.78
Os 0.5000 0.0000 0.5000  8 Br 2.78